Record 1
# V2CO (PBE with a Hubbard U, relaxed)
data_V2CO
_chemical_formula_sum 'V8 C4 O4'
_symmetry_space_group_name_H-M 'I -4 2 d'
_symmetry_Int_Tables_number 122
_symmetry_space_group_name_Hall 'I -4 2bw'
_cell_length_a 4.711
_cell_length_b 4.711
_cell_length_c 9.243
_cell_angle_alpha 90.00
_cell_angle_beta 90.00
_cell_angle_gamma 90.00
loop_
_atom_site_label
_atom_site_type_symbol
_atom_site_fract_x
_atom_site_fract_y
_atom_site_fract_z
_atom_site_occupancy
V1 V 0.249 0.250 0.125 1
C1 C 0.000 0.000 0.500 1
O1 O 0.000 0.000 0.000 1
# **Polymorph energy (0 for the lowest one)**: 0 meV/atom

***

Record 2
# VC3O (PBE with a Hubbard U, relaxed)
data_VC3O
_chemical_formula_sum 'V1 C3 O1'
_symmetry_space_group_name_H-M 'P m -3 m'
_symmetry_Int_Tables_number 221
_symmetry_space_group_name_Hall '-P 4 2 3'
_cell_length_a 3.932
_cell_length_b 3.932
_cell_length_c 3.932
_cell_angle_alpha 90.00
_cell_angle_beta 90.00
_cell_angle_gamma 90.00
loop_
_atom_site_label
_atom_site_type_symbol
_atom_site_fract_x
_atom_site_fract_y
_atom_site_fract_z
_atom_site_occupancy
V1 V 0.000 0.000 0.000 1
C1 C 0.000 0.000 0.500 1
O1 O 0.500 0.500 0.500 1
# **Polymorph energy (0 for the lowest one)**: 0 meV/atom

***

Record 3
# V2CO (PBE with a Hubbard U, relaxed)
data_V2CO
_chemical_formula_sum 'V8 C4 O4'
_symmetry_space_group_name_H-M 'F m -3 m'
_symmetry_Int_Tables_number 225
_symmetry_space_group_name_Hall '-F 4 2 3'
_cell_length_a 5.228
_cell_length_b 5.228
_cell_length_c 5.228
_cell_angle_alpha 90.00
_cell_angle_beta 90.00
_cell_angle_gamma 90.00
loop_
_atom_site_label
_atom_site_type_symbol
_atom_site_fract_x
_atom_site_fract_y
_atom_site_fract_z
_atom_site_occupancy
V1 V 0.250 0.250 0.250 1
C1 C 0.000 0.000 0.000 1
O1 O 0.000 0.000 0.500 1
# **Polymorph energy (0 for the lowest one)**: 454 meV/atom

***

Record 4
# Y2VCO (PBE with a Hubbard U, relaxed)
data_Y2VCO
_chemical_formula_sum 'Y2 V1 C1 O1'
_symmetry_space_group_name_H-M 'P 4/m m m'
_symmetry_Int_Tables_number 123
_symmetry_space_group_name_Hall '-P 4 2'
_cell_length_a 4.892
_cell_length_b 4.892
_cell_length_c 4.012
_cell_angle_alpha 90.00
_cell_angle_beta 90.00
_cell_angle_gamma 90.00
loop_
_atom_site_label
_atom_site_type_symbol
_atom_site_fract_x
_atom_site_fract_y
_atom_site_fract_z
_atom_site_occupancy
Y1 Y 0.000 0.500 0.000 1
V1 V 0.000 0.000 0.500 1
C1 C 0.500 0.500 0.000 1
O1 O 0.500 0.500 0.500 1
# **Electronic total energy**: -6.261 eV per atom

***

Record 5
# WCO2 (PBE with a Hubbard U, relaxed)
data_WCO2
_chemical_formula_sum 'W3 C3 O6'
_symmetry_space_group_name_H-M 'R -3 m'
_symmetry_Int_Tables_number 166
_symmetry_space_group_name_Hall '-R 3 2"'
_cell_length_a 2.7690
_cell_length_b 2.7690
_cell_length_c 17.6597
_cell_angle_alpha 90.00
_cell_angle_beta 90.00
_cell_angle_gamma 120.00
loop_
_atom_site_label
_atom_site_type_symbol
_atom_site_fract_x
_atom_site_fract_y
_atom_site_fract_z
_atom_site_occupancy
W1 W 0.0000 0.0000 0.0000 1
C1 C 0.0000 0.0000 0.5000 1
O1 O 0.0000 0.0000 0.4236 1
# **Electronic total energy**: -5.877 eV per atom

***

Record 6
# W2CO (PBE with a Hubbard U, relaxed)
data_W2CO
_chemical_formula_sum 'W2 C1 O1'
_symmetry_space_group_name_H-M 'P -6 m 2'
_symmetry_Int_Tables_number 187
_symmetry_space_group_name_Hall 'P -6 2'
_cell_length_a 2.9450
_cell_length_b 2.9450
_cell_length_c 6.1284
_cell_angle_alpha 90.00
_cell_angle_beta 90.00
_cell_angle_gamma 120.00
loop_
_atom_site_label
_atom_site_type_symbol
_atom_site_fract_x
_atom_site_fract_y
_atom_site_fract_z
_atom_site_occupancy
W1 W 0.0000 0.0000 0.2261 1
C1 C 0.6667 0.3333 0.0000 1
O1 O 0.6667 0.3333 0.5000 1
# **Polymorph energy (0 for the lowest one)**: 56 meV/atom